Record 1
{
  "formula": "CaDy2Cl8",
  "functional": "PBE",
  "state": "relaxed",
  "lattice": [[7.1370, 0.4859, 0.4039], [0.6768, 8.4079, 0.9981], [0.6768, 2.5184, 8.0837]],
  "species": ["Ca", "Cl", "Cl", "Cl", "Cl", "Cl", "Cl", "Cl", "Cl", "Dy", "Dy"],
  "frac_coords": [[0.0000, 0.0000, 0.0000], [0.8141, 0.0966, 0.7035], [0.7689, 0.6398, 0.6398], [0.3047, 0.8482, 0.8482], [0.8141, 0.7035, 0.0966], [0.1859, 0.9034, 0.2965], [0.6953, 0.1518, 0.1518], [0.2311, 0.3602, 0.3602], [0.1859, 0.2965, 0.9034], [0.6669, 0.8124, 0.8124], [0.3331, 0.1876, 0.1876]],
  "magmom_total_mub_per_atom": 0.015,
  "dos_at_fermi_per_ev_cell": 0.0,
  "formation_energy_uncorrected_ev_per_atom": -2.139,
  "final_energy_ry_per_atom": -0.3308
}

Record 2
{
  "formula": "Ca2DyCl",
  "functional": "PBE",
  "state": "relaxed",
  "lattice": [[-0.5838, -3.1670, -1.8908], [2.8520, -2.3041, -0.7091], [-1.0207, -6.7113, 7.8683]],
  "species": ["Dy", "Ca", "Ca", "Cl"],
  "frac_coords": [[0.5000, 0.5000, 0.5000], [0.7364, 0.7364, 0.7908], [0.2636, 0.2636, 0.2092], [0.0000, 0.0000, 0.0000]],
  "magmom_total_mub_per_atom": 0.000,
  "dos_at_fermi_per_ev_cell": 4.2,
  "formation_energy_uncorrected_ev_per_atom": -0.766,
  "final_energy_ry_per_atom": -0.2484
}

Record 3
{
  "formula": "KCa2DyCl8",
  "functional": "PBE",
  "state": "relaxed",
  "lattice": [[-4.2395, -0.2267, 5.0855], [-4.3672, -2.7955, -3.7073], [3.0851, -7.7719, 2.2256]],
  "species": ["Cl", "Cl", "Cl", "Cl", "Cl", "Cl", "Cl", "Cl", "Ca", "Ca", "Dy", "K"],
  "frac_coords": [[0.1718, 0.7674, 0.2156], [0.1718, 0.7675, 0.7844], [0.6365, 0.7204, 0.5000], [0.3635, 0.2796, 0.5000], [0.3207, 0.2668, 0.0000], [0.8282, 0.2325, 0.2156], [0.6793, 0.7332, 0.0000], [0.8282, 0.2326, 0.7844], [0.5000, 0.5000, 0.7473], [0.5000, 0.5000, 0.2527], [0.0000, 0.0000, 0.0000], [0.0000, 0.0000, 0.5000]],
  "magmom_total_mub_per_atom": 0.000,
  "dos_at_fermi_per_ev_cell": 0.0,
  "formation_energy_uncorrected_ev_per_atom": -2.274,
  "final_energy_ry_per_atom": -0.3170
}

Record 4
{
  "formula": "LiCaDyCl6",
  "functional": "PBE",
  "state": "relaxed",
  "lattice": [[6.8476, 0.0000, 0.0000], [-3.4238, 5.9302, 0.0000], [0.0000, 0.0000, 11.8590]],
  "species": ["Cl", "Cl", "Cl", "Cl", "Cl", "Cl", "Cl", "Cl", "Cl", "Cl", "Cl", "Cl", "Ca", "Ca", "Li", "Li", "Dy", "Dy"],
  "frac_coords": [[0.3428, 0.0112, 0.1261], [0.9888, 0.3315, 0.1261], [0.3315, 0.3428, 0.8739], [0.6685, 0.0112, 0.3739], [0.6572, 0.6685, 0.6261], [0.9888, 0.6572, 0.3739], [0.6685, 0.6572, 0.1261], [0.6572, 0.9888, 0.8739], [0.0112, 0.6685, 0.8739], [0.3315, 0.9888, 0.6261], [0.3428, 0.3315, 0.3739], [0.0112, 0.3428, 0.6261], [0.3333, 0.6667, 0.2500], [0.6667, 0.3333, 0.7500], [0.0000, 0.0000, 0.0000], [0.0000, 0.0000, 0.5000], [0.6667, 0.3333, 0.2500], [0.3333, 0.6667, 0.7500]],
  "magmom_total_mub_per_atom": 0.000,
  "dos_at_fermi_per_ev_cell": 0.0,
  "formation_energy_uncorrected_ev_per_atom": -2.187,
  "final_energy_ry_per_atom": -0.3208
}

Record 5
{
  "formula": "Rb2CaDyCl6",
  "functional": "PBE",
  "state": "relaxed",
  "lattice": [[7.6461, 0.0000, 0.0000], [0.0000, 7.6494, 0.0000], [0.0000, 0.0000, 10.8206]],
  "species": ["Cl", "Cl", "Cl", "Cl", "Cl", "Cl", "Cl", "Cl", "Cl", "Cl", "Cl", "Cl", "Dy", "Dy", "Ca", "Ca", "Rb", "Rb", "Rb", "Rb"],
  "frac_coords": [[0.5000, 0.2497, 0.7477], [0.0000, 0.7503, 0.7523], [0.2476, 0.9982, 0.0000], [0.5000, 0.2497, 0.2523], [0.7477, 0.4973, 0.5000], [0.0000, 0.7503, 0.2477], [0.7524, 0.9982, 0.0000], [0.2524, 0.0018, 0.5000], [0.2523, 0.4973, 0.5000], [0.7476, 0.0018, 0.5000], [0.7523, 0.5027, 0.0000], [0.2477, 0.5027, 0.0000], [0.0000, 0.7505, 0.0000], [0.5000, 0.2495, 0.5000], [0.5000, 0.2504, 0.0000], [0.0000, 0.7496, 0.5000], [0.5000, 0.7501, 0.7501], [0.5000, 0.7501, 0.2499], [0.0000, 0.2499, 0.2501], [0.0000, 0.2499, 0.7499]],
  "magmom_total_mub_per_atom": 0.061,
  "dos_at_fermi_per_ev_cell": 9.3,
  "formation_energy_uncorrected_ev_per_atom": -2.029,
  "final_energy_ry_per_atom": -0.2933
}

Record 6
{
  "formula": "RbCa2DyCl8",
  "functional": "PBE",
  "state": "relaxed",
  "lattice": [[6.6587, 0.0165, -0.0044], [0.0667, 6.4403, -0.0069], [0.0060, 0.0101, 8.7846]],
  "species": ["Cl", "Cl", "Cl", "Cl", "Cl", "Cl", "Cl", "Cl", "Rb", "Dy", "Ca", "Ca"],
  "frac_coords": [[0.6254, 0.7180, 0.5000], [0.8245, 0.2337, 0.2087], [0.1755, 0.7663, 0.7913], [0.6834, 0.7323, 0.0000], [0.1755, 0.7663, 0.2088], [0.3746, 0.2820, 0.5000], [0.8245, 0.2337, 0.7912], [0.3166, 0.2677, 0.0000], [0.0000, 0.0000, 0.5000], [0.0000, 0.0000, 0.0000], [0.5000, 0.5000, 0.2524], [0.5000, 0.5000, 0.7476]],
  "magmom_total_mub_per_atom": 0.000,
  "dos_at_fermi_per_ev_cell": 0.0,
  "formation_energy_uncorrected_ev_per_atom": -2.260,
  "final_energy_ry_per_atom": -0.3152
}

Record 7
{
  "formula": "CaErCl",
  "functional": "PBE",
  "state": "relaxed",
  "lattice": [[-0.2170, -1.0644, 3.4590], [-2.5905, -0.9486, -2.3545], [7.3380, -12.0094, -3.2352]],
  "species": ["Er", "Er", "Ca", "Ca", "Cl", "Cl"],
  "frac_coords": [[0.6113, 0.2226, 0.2929], [0.6113, 0.2226, 0.7071], [0.6106, 0.2212, 0.0000], [0.2782, 0.5564, 0.5000], [0.2776, 0.5552, 0.1441], [0.2776, 0.5552, 0.8559]],
  "magmom_total_mub_per_atom": 0.209,
  "dos_at_fermi_per_ev_cell": 5.2,
  "formation_energy_uncorrected_ev_per_atom": -0.837,
  "final_energy_ry_per_atom": -0.2676
}

Record 8
{
  "formula": "Ca2ErCl",
  "functional": "PBE",
  "state": "relaxed",
  "lattice": [[-3.4894, 0.7191, -1.0988], [-2.8549, -0.6711, 2.3020], [-1.3418, 9.4228, 4.1021]],
  "species": ["Ca", "Ca", "Er", "Cl"],
  "frac_coords": [[0.2633, 0.2633, 0.2100], [0.7367, 0.7367, 0.7900], [0.5000, 0.5000, 0.5000], [0.0000, 0.0000, 0.0000]],
  "magmom_total_mub_per_atom": 0.000,
  "dos_at_fermi_per_ev_cell": 4.6,
  "formation_energy_uncorrected_ev_per_atom": -0.755,
  "final_energy_ry_per_atom": -0.2468
}

Record 9
{
  "formula": "Ca2ErInCl8",
  "functional": "PBE",
  "state": "relaxed",
  "lattice": [[6.6187, 0.0031, -0.0043], [0.0460, 6.3783, -0.0071], [0.0059, 0.0095, 8.7052]],
  "species": ["Cl", "Cl", "Cl", "Cl", "Cl", "Cl", "Cl", "Cl", "Ca", "Ca", "Er", "In"],
  "frac_coords": [[0.1745, 0.7707, 0.7890], [0.3640, 0.2821, 0.5000], [0.3157, 0.2681, 0.0000], [0.1744, 0.7707, 0.2110], [0.8255, 0.2293, 0.2110], [0.6360, 0.7179, 0.5000], [0.6843, 0.7319, 0.0000], [0.8256, 0.2293, 0.7890], [0.5000, 0.5000, 0.2526], [0.5000, 0.5000, 0.7474], [0.0000, 0.0000, 0.0000], [0.0000, 0.0000, 0.5000]],
  "magmom_total_mub_per_atom": 0.000,
  "dos_at_fermi_per_ev_cell": 0.0,
  "formation_energy_uncorrected_ev_per_atom": -2.067,
  "final_energy_ry_per_atom": -0.3116
}

Record 10
{
  "formula": "CaErInCl6",
  "functional": "PBE",
  "state": "relaxed",
  "lattice": [[7.0781, 0.0000, 0.0000], [-3.5390, 6.1298, 0.0000], [0.0000, 0.0000, 13.7298]],
  "species": ["Cl", "Cl", "Cl", "Cl", "Cl", "Cl", "Cl", "Cl", "Cl", "Cl", "Cl", "Cl", "Ca", "Ca", "In", "In", "Er", "Er"],
  "frac_coords": [[0.6362, 0.0133, 0.3592], [0.3771, 0.3638, 0.3592], [0.0133, 0.6362, 0.8592], [0.6229, 0.6362, 0.6408], [0.3638, 0.3771, 0.8592], [0.9867, 0.6229, 0.3592], [0.3638, 0.9867, 0.6408], [0.3771, 0.0133, 0.1408], [0.0133, 0.3771, 0.6408], [0.6362, 0.6229, 0.1408], [0.9867, 0.3638, 0.1408], [0.6229, 0.9867, 0.8592], [0.3333, 0.6667, 0.2500], [0.6667, 0.3333, 0.7500], [0.0000, 0.0000, 0.0000], [0.0000, 0.0000, 0.5000], [0.3333, 0.6667, 0.7500], [0.6667, 0.3333, 0.2500]],
  "magmom_total_mub_per_atom": 0.000,
  "dos_at_fermi_per_ev_cell": 0.0,
  "formation_energy_uncorrected_ev_per_atom": -2.019,
  "final_energy_ry_per_atom": -0.3148
}

Record 11
{
  "formula": "KCaErCl6",
  "functional": "PBE",
  "state": "relaxed",
  "lattice": [[7.0747, 0.0000, 0.0000], [-3.5374, 6.1269, 0.0000], [0.0000, 0.0000, 13.5512]],
  "species": ["Ca", "Ca", "Cl", "Cl", "Cl", "Cl", "Cl", "Cl", "Cl", "Cl", "Cl", "Cl", "Cl", "Cl", "K", "K", "Er", "Er"],
  "frac_coords": [[0.3333, 0.6667, 0.2500], [0.6667, 0.3333, 0.7500], [0.6373, 0.0133, 0.3604], [0.6239, 0.9867, 0.8604], [0.3627, 0.3761, 0.8604], [0.3761, 0.0133, 0.1396], [0.9867, 0.3627, 0.1396], [0.6373, 0.6239, 0.1396], [0.9867, 0.6239, 0.3604], [0.0133, 0.3761, 0.6396], [0.0133, 0.6373, 0.8604], [0.6239, 0.6373, 0.6396], [0.3627, 0.9867, 0.6396], [0.3761, 0.3627, 0.3604], [0.0000, 0.0000, 0.5000], [0.0000, 0.0000, 0.0000], [0.3333, 0.6667, 0.7500], [0.6667, 0.3333, 0.2500]],
  "magmom_total_mub_per_atom": 0.000,
  "dos_at_fermi_per_ev_cell": 0.0,
  "formation_energy_uncorrected_ev_per_atom": -2.290,
  "final_energy_ry_per_atom": -0.3214
}

Record 12
{
  "formula": "LiCaErCl6",
  "functional": "PBE",
  "state": "relaxed",
  "lattice": [[-1.2512, 5.0414, 4.4181], [-4.6186, -1.5875, -4.7591], [-4.9950, -7.7545, 7.4341]],
  "species": ["Cl", "Cl", "Cl", "Cl", "Cl", "Cl", "Cl", "Cl", "Cl", "Cl", "Cl", "Cl", "Ca", "Ca", "Er", "Er", "Li", "Li"],
  "frac_coords": [[0.6550, 0.6690, 0.6263], [0.6690, 0.6550, 0.1263], [0.9860, 0.6550, 0.3737], [0.3310, 0.9860, 0.6263], [0.6690, 0.0140, 0.3737], [0.0140, 0.6690, 0.8737], [0.0140, 0.3450, 0.6263], [0.9860, 0.3310, 0.1263], [0.3310, 0.3450, 0.8737], [0.3450, 0.0140, 0.1263], [0.3450, 0.3310, 0.3737], [0.6550, 0.9860, 0.8737], [0.3333, 0.6667, 0.2500], [0.6667, 0.3333, 0.7500], [0.6667, 0.3333, 0.2500], [0.3333, 0.6667, 0.7500], [0.0000, 0.0000, 0.0000], [0.0000, 0.0000, 0.5000]],
  "magmom_total_mub_per_atom": 0.000,
  "dos_at_fermi_per_ev_cell": 0.0,
  "formation_energy_uncorrected_ev_per_atom": -2.188,
  "final_energy_ry_per_atom": -0.3206
}